Record 1
# BeNbF2

A geometry-optimized BeNbF2 structure (PBE, the Alexandria database).

Structure (POSCAR):
```
BeNbF2
1.0
-2.570 -6.056 6.775
0.000 -6.819 6.533
-0.646 -4.754 8.134
F Be Nb
2 1 1
Direct
0.865 0.865 0.865
0.135 0.135 0.135
0.500 0.500 0.500
0.000 0.000 0.000
```

## Properties
- Calculated total energy: -24.2 eV per cell
- Formation energy without anion corrections: -1.6662 eV/atom
- Relative energy among the computed polymorphs: 0 meV/atom

---

Record 2
# MgPdSe

A geometry-optimized MgPdSe structure (PBE, the Alexandria database).

Structure (POSCAR):
```
MgPdSe
1.0
4.712 0.000 -0.001
-2.354 6.419 0.000
2.356 0.595 3.865
Se Mg Pd
2 2 2
Direct
0.570 0.916 0.988
0.475 0.313 0.574
0.074 0.115 0.281
0.888 0.614 0.782
0.593 0.706 0.419
0.139 0.523 0.144
```

## Properties
- Calculated total energy: -24.5 eV per cell
- Formation energy without anion corrections: -0.6562 eV/atom

---

Record 3
# Er2ReN

A geometry-optimized Er2ReN structure (PBE, the Alexandria database).

Structure (POSCAR):
```
Er2ReN
1.0
3.166 0.000 0.000
1.583 2.742 0.000
1.583 0.914 8.389
Er Re N
2 1 1
Direct
0.889 0.889 0.333
0.111 0.111 0.667
0.000 0.000 0.000
0.500 0.500 0.500
```

## Properties
- Calculated total energy: -30.4 eV per cell
- Formation energy without anion corrections: -0.1155 eV/atom

---

Record 4
# CsNa10Tl2

A geometry-optimized CsNa10Tl2 structure (PBE, the Alexandria database).

Structure (POSCAR):
```
CsNa10Tl2
1.0
9.102 0.070 0.000
-1.278 9.012 0.000
0.000 0.000 11.800
Tl Na Cs
4 20 2
Direct
0.000 0.500 0.500
0.500 0.000 0.500
0.500 0.000 0.000
0.000 0.500 0.000
0.231 0.475 0.750
0.617 0.383 0.940
0.172 0.828 0.593
0.590 0.878 0.250
0.771 0.771 0.000
0.172 0.828 0.907
0.383 0.617 0.440
0.122 0.410 0.250
0.229 0.229 0.500
0.771 0.771 0.500
0.828 0.172 0.407
0.878 0.590 0.750
0.617 0.383 0.560
0.475 0.231 0.250
0.229 0.229 0.000
0.769 0.525 0.250
0.383 0.617 0.060
0.828 0.172 0.093
0.410 0.122 0.750
0.525 0.769 0.750
0.119 0.881 0.250
0.881 0.119 0.750
```

## Properties
- Calculated total energy: -38.7 eV per cell
- Energy relative to the elements: -0.0425 eV/atom

---

Record 5
# Mg2ZnSb

A geometry-optimized Mg2ZnSb structure (PBE, the Alexandria database).

Structure (POSCAR):
```
Mg2ZnSb
1.0
3.233 0.005 0.000
-0.004 3.233 0.000
0.000 0.000 8.191
Zn Mg Sb
1 2 1
Direct
0.500 0.500 0.750
0.000 0.000 0.537
0.000 0.000 0.963
0.500 0.500 0.250
```

## Properties
- Calculated total energy: -8.9 eV per cell
- Formation energy without anion corrections: -0.0815 eV/atom
- Relative energy among the computed polymorphs: 60 meV/atom

---

Record 6
# CsLi2YCl6

A geometry-optimized CsLi2YCl6 structure (PBE, the Alexandria database).

Structure (POSCAR):
```
CsLi2YCl6
1.0
-2.953 4.544 3.823
-4.144 -1.901 4.806
4.016 0.509 8.271
Cs Y Li Cl
1 1 2 6
Direct
0.816 0.816 0.551
0.316 0.316 0.052
0.987 0.987 0.038
0.646 0.645 0.065
0.594 0.259 0.224
0.372 0.711 0.879
0.038 0.373 0.879
0.261 0.921 0.224
0.710 0.039 0.879
0.922 0.593 0.224
```

## Properties
- Calculated total energy: -42.9 eV per cell
- Formation energy without anion corrections: -2.0641 eV/atom

---

Record 7
# AlZnH

A geometry-optimized AlZnH structure (PBE, the Alexandria database).

Structure (POSCAR):
```
AlZnH
1.0
-2.698 -0.494 0.737
0.867 -0.969 2.524
0.608 5.041 0.130
Al H Zn
1 1 1
Direct
0.347 0.347 0.694
0.875 0.875 0.751
0.628 0.628 0.255
```

## Properties
- Calculated total energy: -7.5 eV per cell
- Relative energy among the computed polymorphs: 153 meV/atom

---

Record 8
# ZrTl2Tc

A geometry-optimized ZrTl2Tc structure (PBE, the Alexandria database).

Structure (POSCAR):
```
ZrTl2Tc
1.0
4.801 0.000 0.000
0.000 3.146 0.008
0.000 1.139 5.602
Tl Zr Tc
2 1 1
Direct
0.000 0.582 0.511
0.000 0.918 0.989
0.500 0.250 0.250
0.500 0.750 0.750
```

## Properties
- Calculated total energy: -22.1 eV per cell
- Energy relative to the elements: 0.3778 eV/atom
- Relative energy among the computed polymorphs: 144 meV/atom

---

Record 9
# LiGeAu4

A geometry-optimized LiGeAu4 structure (PBE, the Alexandria database).

Structure (POSCAR):
```
LiGeAu4
1.0
-3.307 -2.564 -3.627
0.838 -5.337 -1.219
-3.586 -3.838 1.755
Au Li Ge
4 1 1
Direct
0.625 0.126 0.625
0.126 0.625 0.625
0.625 0.625 0.126
0.625 0.625 0.625
0.250 0.250 0.250
0.000 0.000 0.000
```

## Properties
- Calculated total energy: -19.8 eV per cell
- Energy relative to the elements: -0.0235 eV/atom
- Relative energy among the computed polymorphs: 174 meV/atom

---

Record 10
# FeSe2S2

A geometry-optimized FeSe2S2 structure (PBE, the Alexandria database).

Structure (POSCAR):
```
FeSe2S2
1.0
6.231 0.000 0.000
0.000 6.231 0.000
0.000 0.000 4.920
S Se Fe
4 4 2
Direct
0.215 0.285 0.500
0.785 0.715 0.500
0.285 0.785 0.500
0.715 0.215 0.500
0.835 0.665 0.000
0.335 0.835 0.000
0.165 0.335 0.000
0.665 0.165 0.000
0.000 0.000 0.000
0.500 0.500 0.000
```

## Properties
- Calculated total energy: -41.5 eV per cell
- Formation energy without anion corrections: 0.5860 eV/atom

---

Record 11
# KSr3Rh

A geometry-optimized KSr3Rh structure (PBE, the Alexandria database).

Structure (POSCAR):
```
KSr3Rh
1.0
21.440 0.000 6.766
6.803 3.028 -1.475
-6.803 3.028 1.475
Sr Rh K
6 2 2
Direct
0.836 0.277 0.723
0.702 0.176 0.824
0.943 0.421 0.579
0.057 0.579 0.421
0.164 0.723 0.277
0.298 0.824 0.176
0.925 0.956 0.044
0.075 0.044 0.956
0.433 0.940 0.060
0.567 0.060 0.940
```

## Properties
- Calculated total energy: -28.0 eV per cell
- Energy relative to the elements: -0.0976 eV/atom
- Relative energy among the computed polymorphs: 39 meV/atom

---

Record 12
# SrPPd4

A geometry-optimized SrPPd4 structure (PBE, the Alexandria database).

Structure (POSCAR):
```
SrPPd4
1.0
4.468 0.000 0.000
0.000 4.468 0.000
0.000 0.000 7.023
Pd Sr P
4 1 1
Direct
0.500 0.500 0.815
0.500 0.500 0.185
0.000 0.500 0.500
0.500 0.000 0.500
0.000 0.000 0.000
0.500 0.500 0.500
```

## Properties
- Calculated total energy: -29.6 eV per cell
- Energy relative to the elements: -0.2885 eV/atom
- Relative energy among the computed polymorphs: 285 meV/atom

---

Q: Which of these has the lowest calculated total energy?
A: CsLi2YCl6